A geometry-optimized MgRh2Au structure, computed with PBE-GGA.

Values from the calculation:
The total energy comes out at -20.4 eV/f.u. Its energy of formation from the pure elements is -0.2149 eV per atom. The density of states at the Fermi level is 7.79 states/eV/cell.

a = 3.9980 Å, b = 3.9980 Å, c = 7.8507 Å
α = 90.00°, β = 90.00°, γ = 90.00°
Space group I-4m2 (No. 119)
Unique sites:
Mg 0.0000 0.0000 0.0000 x2
Rh 0.0000 0.0000 0.5000 x2
Rh 0.0000 0.5000 0.7500 x2
Au 0.0000 0.5000 0.2500 x2